Arrangement i

# Li2BSe2, optimized geometry, DFT PBE
# magnetic moment = 0.0 μB/f.u.
# D(E_F) = 5.1 states/eV per cell
data_Li2BSe2
_symmetry_space_group_name_H-M 'I 4/m m m'
_symmetry_Int_Tables_number 139
_symmetry_space_group_name_Hall '-I 4 2'
_cell_length_a 4.0861
_cell_length_b 4.0861
_cell_length_c 11.2126
_cell_angle_alpha 90.00
_cell_angle_beta 90.00
_cell_angle_gamma 90.00
loop_
_atom_site_label
_atom_site_fract_x
_atom_site_fract_y
_atom_site_fract_z
_atom_site_occupancy
Li1 0.0000 0.5000 0.2500 1
B1 0.0000 0.0000 0.0000 1
Se1 0.0000 0.0000 0.3791 1

Arrangement ii

# Li2BSe2, optimized geometry, DFT PBE
# magnetic moment = 0.0 μB/f.u.
# D(E_F) = 1.9 states/eV per cell
data_Li2BSe2
_symmetry_space_group_name_H-M 'P 4/m b m'
_symmetry_Int_Tables_number 127
_symmetry_space_group_name_Hall '-P 4 2ab'
_cell_length_a 7.5471
_cell_length_b 7.5471
_cell_length_c 2.8334
_cell_angle_alpha 90.00
_cell_angle_beta 90.00
_cell_angle_gamma 90.00
loop_
_atom_site_label
_atom_site_fract_x
_atom_site_fract_y
_atom_site_fract_z
_atom_site_occupancy
Li1 0.1267 0.3733 0.0000 1
B1 0.0000 0.0000 0.5000 1
Se1 0.1767 0.6767 0.5000 1

The least stable of them is arrangement i.

Arrangement i

# Li2SiB, optimized geometry, DFT PBE
# magnetic moment = 0.0 μB/f.u.
# D(E_F) = 4.7 states/eV per cell
data_Li2SiB
_symmetry_space_group_name_H-M 'F m -3 m'
_symmetry_Int_Tables_number 225
_symmetry_space_group_name_Hall '-F 4 2 3'
_cell_length_a 5.6045
_cell_length_b 5.6045
_cell_length_c 5.6045
_cell_angle_alpha 90.00
_cell_angle_beta 90.00
_cell_angle_gamma 90.00
loop_
_atom_site_label
_atom_site_fract_x
_atom_site_fract_y
_atom_site_fract_z
_atom_site_occupancy
Li1 0.2500 0.2500 0.2500 1
Si1 0.0000 0.0000 0.0000 1
B1 0.0000 0.0000 0.5000 1

Arrangement ii

# Li2SiB, optimized geometry, DFT PBE
# magnetic moment = 0.0 μB/f.u.
# D(E_F) = 5.1 states/eV per cell
data_Li2SiB
_symmetry_space_group_name_H-M 'I -4 2 d'
_symmetry_Int_Tables_number 122
_symmetry_space_group_name_Hall 'I -4 2bw'
_cell_length_a 9.1413
_cell_length_b 9.1413
_cell_length_c 3.6805
_cell_angle_alpha 90.00
_cell_angle_beta 90.00
_cell_angle_gamma 90.00
loop_
_atom_site_label
_atom_site_fract_x
_atom_site_fract_y
_atom_site_fract_z
_atom_site_occupancy
Li1 0.0010 0.2500 0.1250 1
Si1 0.0000 0.0000 0.5000 1
B1 0.0000 0.0000 0.0000 1

The least stable of them is arrangement i.

Arrangement i

# LiSmB4, optimized geometry, DFT PBE
# magnetic moment = 0.0 μB/f.u.
# D(E_F) = 10.3 states/eV per cell
data_LiSmB4
_symmetry_space_group_name_H-M 'F -4 3 m'
_symmetry_Int_Tables_number 216
_symmetry_space_group_name_Hall 'F -4 2 3'
_cell_length_a 6.2969
_cell_length_b 6.2969
_cell_length_c 6.2969
_cell_angle_alpha 90.00
_cell_angle_beta 90.00
_cell_angle_gamma 90.00
loop_
_atom_site_label
_atom_site_fract_x
_atom_site_fract_y
_atom_site_fract_z
_atom_site_occupancy
Li1 0.0000 0.0000 0.0000 1
Sm1 0.2500 0.2500 0.2500 1
B1 0.1249 0.1249 0.6249 1

Arrangement ii

# LiSmB4, optimized geometry, DFT PBE
# magnetic moment = 0.0 μB/f.u.
# D(E_F) = 7.5 states/eV per cell
data_LiSmB4
_symmetry_space_group_name_H-M 'P b a m'
_symmetry_Int_Tables_number 55
_symmetry_space_group_name_Hall '-P 2 2ab'
_cell_length_a 6.0011
_cell_length_b 11.4416
_cell_length_c 3.7333
_cell_angle_alpha 90.00
_cell_angle_beta 90.00
_cell_angle_gamma 90.00
loop_
_atom_site_label
_atom_site_fract_x
_atom_site_fract_y
_atom_site_fract_z
_atom_site_occupancy
Li1 0.1286 0.0846 0.0000 1
Sm1 0.1251 0.3486 0.0000 1
B1 0.0255 0.8076 0.5000 1
B2 0.1152 0.9557 0.5000 1
B3 0.1339 0.5298 0.5000 1
B4 0.2159 0.6863 0.5000 1

The least stable of them is arrangement i.

Arrangement i

# LiSn2B, optimized geometry, DFT PBE
# magnetic moment = 0.0 μB/f.u.
# D(E_F) = 6.3 states/eV per cell
data_LiSn2B
_symmetry_space_group_name_H-M 'F m -3 m'
_symmetry_Int_Tables_number 225
_symmetry_space_group_name_Hall '-F 4 2 3'
_cell_length_a 6.7066
_cell_length_b 6.7066
_cell_length_c 6.7066
_cell_angle_alpha 90.00
_cell_angle_beta 90.00
_cell_angle_gamma 90.00
loop_
_atom_site_label
_atom_site_fract_x
_atom_site_fract_y
_atom_site_fract_z
_atom_site_occupancy
Li1 0.0000 0.0000 0.0000 1
Sn1 0.2500 0.2500 0.2500 1
B1 0.0000 0.0000 0.5000 1

Arrangement ii

# LiSn2B, optimized geometry, DFT PBE
# magnetic moment = 0.0 μB/f.u.
# D(E_F) = 0.5 states/eV per cell
data_LiSn2B
_symmetry_space_group_name_H-M 'I -4 2 d'
_symmetry_Int_Tables_number 122
_symmetry_space_group_name_Hall 'I -4 2bw'
_cell_length_a 8.0530
_cell_length_b 8.0530
_cell_length_c 4.8399
_cell_angle_alpha 90.00
_cell_angle_beta 90.00
_cell_angle_gamma 90.00
loop_
_atom_site_label
_atom_site_fract_x
_atom_site_fract_y
_atom_site_fract_z
_atom_site_occupancy
Li1 0.0000 0.0000 0.0000 1
Sn1 0.1412 0.2500 0.6250 1
B1 0.0000 0.0000 0.5000 1

The least stable of them is arrangement i.

Arrangement i

# LiSnB3, optimized geometry, DFT PBE
# magnetic moment = 0.0 μB/f.u.
# D(E_F) = 2.3 states/eV per cell
data_LiSnB3
_symmetry_space_group_name_H-M 'P m -3 m'
_symmetry_Int_Tables_number 221
_symmetry_space_group_name_Hall '-P 4 2 3'
_cell_length_a 3.9837
_cell_length_b 3.9837
_cell_length_c 3.9837
_cell_angle_alpha 90.00
_cell_angle_beta 90.00
_cell_angle_gamma 90.00
loop_
_atom_site_label
_atom_site_fract_x
_atom_site_fract_y
_atom_site_fract_z
_atom_site_occupancy
Li1 0.0000 0.0000 0.0000 1
Sn1 0.5000 0.5000 0.5000 1
B1 0.0000 0.0000 0.5000 1

Arrangement ii

# LiSnB3, optimized geometry, DFT PBE
# magnetic moment = 0.0 μB/f.u.
# D(E_F) = 3.0 states/eV per cell
data_LiSnB3
_symmetry_space_group_name_H-M 'P m -3 m'
_symmetry_Int_Tables_number 221
_symmetry_space_group_name_Hall '-P 4 2 3'
_cell_length_a 4.5625
_cell_length_b 4.5625
_cell_length_c 4.5625
_cell_angle_alpha 90.00
_cell_angle_beta 90.00
_cell_angle_gamma 90.00
loop_
_atom_site_label
_atom_site_fract_x
_atom_site_fract_y
_atom_site_fract_z
_atom_site_occupancy
Li1 0.0000 0.0000 0.0000 1
Sn1 0.5000 0.5000 0.5000 1
B1 0.0000 0.5000 0.5000 1

The least stable of them is arrangement ii.

Arrangement i

# LiSn2B2, optimized geometry, DFT PBE
# magnetic moment = 0.0 μB/f.u.
# D(E_F) = 5.3 states/eV per cell
data_LiSn2B2
_symmetry_space_group_name_H-M 'P 4/m b m'
_symmetry_Int_Tables_number 127
_symmetry_space_group_name_Hall '-P 4 2ab'
_cell_length_a 7.1236
_cell_length_b 7.1236
_cell_length_c 3.2317
_cell_angle_alpha 90.00
_cell_angle_beta 90.00
_cell_angle_gamma 90.00
loop_
_atom_site_label
_atom_site_fract_x
_atom_site_fract_y
_atom_site_fract_z
_atom_site_occupancy
Li1 0.0000 0.0000 0.0000 1
Sn1 0.1503 0.3497 0.0000 1
B1 0.1469 0.6469 0.5000 1

Arrangement ii

# LiSn2B2, optimized geometry, DFT PBE
# magnetic moment = 0.0 μB/f.u.
# D(E_F) = 2.6 states/eV per cell
data_LiSn2B2
_symmetry_space_group_name_H-M 'I 4/m m m'
_symmetry_Int_Tables_number 139
_symmetry_space_group_name_Hall '-I 4 2'
_cell_length_a 4.2318
_cell_length_b 4.2318
_cell_length_c 10.2199
_cell_angle_alpha 90.00
_cell_angle_beta 90.00
_cell_angle_gamma 90.00
loop_
_atom_site_label
_atom_site_fract_x
_atom_site_fract_y
_atom_site_fract_z
_atom_site_occupancy
Li1 0.0000 0.0000 0.0000 1
Sn1 0.0000 0.0000 0.3598 1
B1 0.0000 0.5000 0.2500 1

The least stable of them is arrangement i.